Record 1
AlCdN2F after structural relaxation. Source: Alexandria, functional PBE-GGA.

## Properties
* space group: P4/mmm, No. 123
* calculated density: 4.11 Mg/m³
* raw formation energy: 1.063 eV/atom
* raw total energy: -3.572 eV per atom
* ΔE to the lowest computed polymorph: 1410.5 meV per atom

Lattice parameters (Å, degrees): 4.1958 4.1958 4.2820 90.00 90.00 90.00
Closest atoms and distances in Å follow each position.
Atoms (fractional coordinates):
Al 0.0000 0.0000 0.0000  4 F 2.97, 8 N 3.00
Cd 0.5000 0.5000 0.5000  4 N 2.10, 2 F 2.14
N 0.0000 0.5000 0.5000  2 Cd 2.10
N 0.5000 0.0000 0.5000  2 Cd 2.10
F 0.5000 0.5000 0.0000  2 Cd 2.14

Record 2
AlCdN2F after structural relaxation. Source: Alexandria, functional PBE-GGA.

## Properties
* space group: P4/mmm, No. 123
* calculated density: 5.49 Mg/m³
* raw formation energy: -0.347 eV/atom
* raw total energy: -4.983 eV per atom
* ΔE to the lowest computed polymorph: 0.0 meV per atom

Lattice parameters (Å, degrees): 3.8556 3.8556 3.7938 90.00 90.00 90.00
Closest atoms and distances in Å follow each position.
Atoms (fractional coordinates):
Al 0.0000 0.0000 0.0000  2 F 1.90, 4 N 1.93
Cd 0.5000 0.5000 0.5000  8 N 2.70, 4 F 2.73
N 0.0000 0.5000 0.0000  2 Al 1.93
N 0.5000 0.0000 0.0000  2 Al 1.93
F 0.0000 0.0000 0.5000  2 Al 1.90

Record 3
Na2AlCdF8 after structural relaxation. Source: Alexandria, functional PBE-GGA.

## Properties
* space group: P2/m, No. 10
* calculated density: 3.36 Mg/m³
* raw formation energy: -2.642 eV/atom
* raw total energy: -4.498 eV per atom

Lattice parameters (Å, degrees): 5.0125 6.6127 5.0307 90.00 91.91 90.00
Closest atoms and distances in Å follow each position.
Atoms (fractional coordinates):
Na 0.0000 0.2329 0.0000  6 F 2.25-2.35
Na 0.0000 0.7671 0.0000  6 F 2.25-2.35
Al 0.5000 0.0000 0.5000  6 F 1.80-1.85
Cd 0.5000 0.5000 0.5000  6 F 2.09-2.33
F 0.1980 0.5000 0.2032  1 Cd 2.09, 2 Na 2.25
F 0.2398 0.0000 0.2442  1 Al 1.80
F 0.3258 0.2046 0.6767  1 Al 1.85
F 0.3258 0.7954 0.6767  1 Al 1.85
F 0.6742 0.2046 0.3233  1 Al 1.85
F 0.6742 0.7954 0.3233  1 Al 1.85
F 0.7602 0.0000 0.7558  1 Al 1.80
F 0.8020 0.5000 0.7968  1 Cd 2.09, 2 Na 2.25